(A)
A plane-wave DFT calculation with PBE-GGA was carried out for Co2OsN2 after structural relaxation.

a b c (Å): 6.4553 6.4553 2.4976
angles (deg): 90.00 90.00 90.00
Last column: magnetic moment on the atom in μB.
Fractional positions:
Co 0.1249 0.3751 0.0000  0.41
N 0.8814 0.3814 0.5000  -0.02
Os 0.0000 0.0000 0.0000  0.13
N 0.6186 0.8814 0.5000  -0.02
Co 0.8751 0.6249 0.0000  0.41
Co 0.6249 0.1249 0.0000  0.44
Os 0.5000 0.5000 0.0000  0.12
N 0.1186 0.6186 0.5000  -0.02
Co 0.3751 0.8751 0.0000  0.44
N 0.3814 0.1186 0.5000  -0.02

density of states at the Fermi level: 4.31 states/eV/f.u.

=====

(B)
A plane-wave DFT calculation with PBE-GGA was carried out for Co2OsN2 after structural relaxation.

a b c (Å): 3.0025 3.0025 5.9694
angles (deg): 75.43 75.43 90.00
Fractional positions:
Os 0.0000 0.0000 0.0000
Co 0.6467 0.6467 0.7065
N 0.7500 0.2500 0.5000
Co 0.3533 0.3533 0.2935
N 0.2500 0.7500 0.5000

density of states at the Fermi level: 3.54 states/eV/f.u.

=====

The computed energies, referenced to the most stable structure and given in meV per atom, are (A) 376; (B) 0.